Below is a relaxed Al2FePt crystal, with properties calculated at the PBE level.

Calculated values
formation energy from the elements	-0.323	eV per atom
mass density	8.7	g cm⁻³
space-group type	P4mm (99)

The structure in POSCAR format:
```
Al2FePt
1.0
2.788 0.000 0.000
0.000 2.788 0.000
0.000 0.000 7.460
Al Fe Pt
2 1 1
direct
0.000 0.000 0.000
0.500 0.500 0.288
0.000 0.000 0.513
0.500 0.500 0.764
```

***

Below is a relaxed AlFePtRh2 crystal, with properties calculated at the PBE level.

Calculated values
formation energy from the elements	0.675	eV per atom
mass density	9.7	g cm⁻³
space-group type	P4/mmm (123)

The structure in POSCAR format:
```
AlFePtRh2
1.0
4.341 0.000 0.000
0.000 4.341 0.000
0.000 0.000 4.390
Al Fe Pt Rh
1 1 1 2
direct
0.000 0.000 0.000
0.000 0.000 0.500
0.500 0.500 0.000
0.000 0.500 0.500
0.500 0.000 0.500
```

***

| no. | magnetic moment (μB per atom) |
| --- | --- |
| 1 | 0.6483 |
| 2 | 0.0000 |